An optimized crystal structure of CsZn2Pd2, computed with PBE.

The space group is P4/mbm (No. 127) and the conventional cell measures 8.207, 8.207 and 3.055 Å, with angles of 90.00, 90.00 and 90.00 degrees. The inequivalent atoms are Cs at (0.000, 0.000, 0.000), Zn at (0.126, 0.374, 0.000) and Pd at (0.148, 0.648, 0.500).

For the calculated formation energy, the calculation gives 0 meV/atom. The relative energy among the computed polymorphs comes out at 0.141 eV/atom. The density of states at the Fermi level is 3.1 states/eV/f.u.